Below is a relaxed structure of Ta3ReCl, with properties calculated at the PBE-GGA level.

Properties
electronic total energy = -8.88 eV/atom
crystal system = cubic
ρ = 14.217 g/cm3

a b c (Å): 4.4697 4.4697 4.4697
angles (deg): 90.00 90.00 90.00
Fractional coordinates of all 5 atoms:
Ta: 0.0000 0.0000 0.5000
Ta: 0.0000 0.5000 0.0000
Ta: 0.5000 0.0000 0.0000
Re: 0.5000 0.5000 0.5000
Cl: 0.0000 0.0000 0.0000